1.
A geometry-optimized Te2HPb structure. Source: the Alexandria database, functional PBE.

Lattice parameters (Å, degrees): 10.0102 10.0102 10.0102 19.24 19.24 19.24
Closest atoms and distances in Å follow each position.
Atoms (fractional coordinates):
Pb: 0.0000 0.0000 0.0000  2 Te 3.27, 6 Pb 3.34
Te: 0.1109 0.1109 0.1109  3 H 2.54
Te: 0.8891 0.8891 0.8891  3 H 2.54
H: 0.5000 0.5000 0.5000  6 Te 2.54

Its density of states at the Fermi level is 0.49 states/eV per atom. For the size of the total moment, the calculation gives 0.000 μB/cell. For the volume, the calculation gives 95.2 Å³ per cell. The energy relative to the lowest polymorph listed for this composition is 0.362 eV per atom. As for the crystal system: trigonal. As for the space-group type: R-3m (166).

***

2.
A geometry-optimized Cs2SrCuI5 structure. Source: the Alexandria database, functional PBE.

Lattice parameters (Å, degrees): 4.7985 11.4002 16.1315 90.00 90.00 102.15
Closest atoms and distances in Å follow each position.
Atoms (fractional coordinates):
I: 0.3119 0.6237 0.3817  1 Cu 2.74
I: 0.0469 0.0938 0.9972  2 Cu 2.76
I: 0.6881 0.3763 0.8817  1 Cu 2.74
I: 0.9531 0.9062 0.4972  2 Cu 2.76
I: 0.5066 0.0131 0.7812  1 Cu 2.60
I: 0.6949 0.3898 0.1675  2 Sr 3.31
I: 0.4934 0.9869 0.2812  1 Cu 2.60
I: 0.3376 0.6752 0.0167  1 Sr 3.26
I: 0.3051 0.6102 0.6675  2 Sr 3.31
I: 0.6624 0.3248 0.5167  1 Sr 3.26
Sr: 0.8083 0.6167 0.5258  6 I 3.26-3.34
Sr: 0.1917 0.3833 0.0258  6 I 3.26-3.34
Cu: 0.5680 0.1360 0.9184  4 I 2.60-2.76
Cu: 0.4320 0.8640 0.4184  4 I 2.60-2.76
Cs: 0.1225 0.2450 0.6956  7 I 3.79-4.11
Cs: 0.8775 0.7550 0.1956  7 I 3.79-4.11
Cs: 0.8817 0.7633 0.8400  6 I 3.80-4.05
Cs: 0.1183 0.2367 0.3400  6 I 3.80-4.05

Its density of states at the Fermi level is 0.00 states/eV per atom. For the size of the total moment, the calculation gives 0.000 μB/cell. For the volume, the calculation gives 862.7 Å³ per cell. The calculation puts the uncorrected formation energy at -1.290 eV/atom. As for the crystal system: orthorhombic. As for the space-group type: Cmc2_1 (36).

***

3.
A geometry-optimized Zn2PtAu structure. Source: the Alexandria database, functional PBE.

Lattice parameters (Å, degrees): 5.0901 5.0901 5.0901 136.82 135.77 63.53
Closest atoms and distances in Å follow each position.
Atoms (fractional coordinates):
Au: 0.5005 0.5005 0.0000  8 Zn 2.68-2.88, 4 Pt 2.87-2.88
Zn: 0.2485 0.7485 0.5000  4 Pt 2.68, 4 Zn 2.86-2.89, 4 Au 2.87-2.88
Zn: 0.9986 0.9986 0.0000  4 Au 2.68, 4 Pt 2.84-2.91, 4 Zn 2.86-2.89
Pt: 0.7523 0.2523 0.5000  8 Zn 2.68-2.91, 4 Au 2.87-2.88

Its density of states at the Fermi level is 0.38 states/eV per atom. For the size of the total moment, the calculation gives 0.000 μB/cell. For the volume, the calculation gives 62.1 Å³ per cell. As for the crystal system: orthorhombic. For the energy of formation from the pure elements, the calculation gives -325 meV per atom. As for the space-group type: Imm2 (44).

***

4.
A geometry-optimized PmPdPb structure. Source: the Alexandria database, functional PBE.

Lattice parameters (Å, degrees): 3.5755 3.5755 6.3026 106.48 106.48 90.00
Closest atoms and distances in Å follow each position.
Atoms (fractional coordinates):
Pb: 0.5952 0.5952 0.1904  4 Pd 3.01
Pd: 0.9530 0.9530 0.9060  4 Pb 3.01, 4 Pm 3.07
Pm: 0.3018 0.3018 0.6036  4 Pd 3.07, 1 Pb 3.39

Its density of states at the Fermi level is 0.89 states/eV per atom. For the size of the total moment, the calculation gives 0.000 μB/cell. For the volume, the calculation gives 73.8 Å³ per cell. The energy relative to the lowest polymorph listed for this composition is 0.179 eV per atom. As for the crystal system: tetragonal. For the energy of formation from the pure elements, the calculation gives -484 meV per atom. As for the space-group type: I4mm (107).